(1)
Material: Pm2Y4Th3
Method: DFT, PBE
State: relaxed

Unit cell a=3.587 b=3.587 c=26.719 alpha=90.00 beta=90.00 gamma=120.00
Positions (direct):
1 Pm 0.000 0.000 0.000
2 Pm 0.000 0.000 0.220
3 Y 0.000 0.000 0.346
4 Y 0.000 0.000 0.563
5 Y 0.333 0.667 0.671
6 Y 0.333 0.667 0.889
7 Th 0.000 0.000 0.780
8 Th 0.333 0.667 0.111
9 Th 0.333 0.667 0.452

Results
energy relative to the elements: 0.7 eV per formula unit


(2)
Material: Li2Cd2Ge
Method: DFT, PBE
State: relaxed

Unit cell a=7.650 b=7.650 c=7.650 alpha=151.41 beta=151.41 gamma=40.87
Positions (direct):
1 Li 0.250 0.750 0.500
2 Li 0.750 0.250 0.500
3 Cd 0.104 0.104 0.000
4 Cd 0.896 0.896 0.000
5 Ge 0.500 0.500 0.000

Results
energy relative to the elements: 0.2 eV per formula unit
energy above the lowest structure with this stoichiometry: 1.02 eV per formula unit


(3)
Material: Re2HgSe
Method: DFT, PBE
State: relaxed

Unit cell a=3.078 b=3.078 c=6.919 alpha=90.00 beta=90.00 gamma=90.00
Positions (direct):
1 Re 0.000 0.000 0.208
2 Re 0.000 0.000 0.792
3 Hg 0.500 0.500 0.500
4 Se 0.500 0.500 0.000

Results
ΔE_f (raw): 905 meV/atom
energy above the lowest structure with this stoichiometry: 2.32 eV per formula unit


(4)
Material: NbCuMo
Method: DFT, PBE
State: relaxed

Unit cell a=2.661 b=4.383 c=8.017 alpha=90.11 beta=94.26 gamma=90.06
Positions (direct):
1 Nb 0.230 0.499 0.176
2 Nb 0.770 0.501 0.824
3 Cu 0.115 0.000 0.659
4 Cu 0.885 0.000 0.341
5 Mo 0.500 0.000 0.000
6 Mo 0.500 0.500 0.500

Results
energy relative to the elements: 0.5 eV per formula unit
energy above the lowest structure with this stoichiometry: 0.12 eV per formula unit


(5)
Material: YTcMo3
Method: DFT, PBE
State: relaxed

Unit cell a=4.688 b=4.688 c=4.688 alpha=90.00 beta=90.00 gamma=90.00
Positions (direct):
1 Y 0.000 0.000 0.000
2 Tc 0.500 0.500 0.500
3 Mo 0.000 0.000 0.500
4 Mo 0.000 0.500 0.000
5 Mo 0.500 0.000 0.000

Results
energy relative to the elements: 13.8 eV per formula unit
energy above the lowest structure with this stoichiometry: 8.62 eV per formula unit


(6)
Material: Mg8CoHg2
Method: DFT, PBE
State: relaxed

Unit cell a=7.706 b=7.706 c=7.706 alpha=145.62 beta=118.01 gamma=72.84
Positions (direct):
1 Mg 0.119 0.350 0.769
2 Mg 0.133 0.133 0.000
3 Mg 0.301 0.000 0.301
4 Mg 0.419 0.650 0.769
5 Mg 0.581 0.350 0.231
6 Mg 0.699 0.000 0.699
7 Mg 0.867 0.867 0.000
8 Mg 0.881 0.650 0.231
9 Co 0.000 0.500 0.500
10 Hg 0.305 0.805 0.500
11 Hg 0.695 0.195 0.500

Results
energy relative to the elements: -0.5 eV per formula unit


Number 1: VASP energy -56.90 eV for the cell shown. Number 2: VASP energy -10.06 eV for the cell shown. Number 3: VASP energy -25.06 eV for the cell shown. Number 4: VASP energy -49.09 eV for the cell shown. Number 5: VASP energy -35.50 eV for the cell shown. Number 6: VASP energy -21.01 eV for the cell shown.